[1]
VASP calculation (GGA-PBE) on a geometry-optimized Ba2PtI structure.

Unit cell a=4.6347 b=4.6347 c=26.0799 alpha=90.00 beta=90.00 gamma=120.00
Space group R-3m (No. 166, hexagonal axes)
Unique sites:
Ba1 0.0000 0.0000 0.2333 [6 per cell]
Pt1 0.0000 0.0000 0.5000 [3 per cell]
I1 0.0000 0.0000 0.0000 [3 per cell]

For the energy above the lowest structure with this stoichiometry, the calculation gives 0 meV per atom. The calculation puts the density at 6.13 g/cm3. Its formation energy without anion corrections is -4.58 eV per formula unit. For the magnetization, the calculation gives 0.000 μB/atom.



[2]
VASP calculation (GGA-PBE) on a geometry-optimized RbLi2NbS4 structure.

Unit cell a=6.784 b=6.784 c=8.837 alpha=90.00 beta=90.00 gamma=90.00
Space group I-42m (No. 121)
Unique sites:
Rb1 0.000 0.000 0.000 [2 per cell]
Li1 0.000 0.500 0.250 [4 per cell]
Nb1 0.000 0.000 0.500 [2 per cell]
S1 0.193 0.193 0.345 [8 per cell]

The calculation puts the density at 2.62 g/cm3. Its formation energy without anion corrections is -9.25 eV per formula unit. For the magnetization, the calculation gives 0.000 μB/atom.